Record 1
Density functional theory data (PBE) for crystalline HoNi5P2 at its relaxed geometry.

Geometry as POSCAR:
```
HoNi5P2
1.0
3.670 0.000 0.000
1.835 5.432 0.312
1.835 1.305 5.283
Ho Ni P
1 5 2
Direct
0.000 0.000 0.000
0.000 0.500 0.500
0.653 0.537 0.157
0.347 0.463 0.843
0.347 0.843 0.463
0.653 0.157 0.537
0.753 0.747 0.747
0.247 0.253 0.253
```

## Properties
N(E_F) ... 0.832 states/eV per atom
Calculated total energy ... -50.1 eV per cell
Energy relative to the elements ... -727.4 meV/atom
M_tot ... 0.0 Bohr magnetons per cell

Record 2
Density functional theory data (PBE) for crystalline Ho5Ni19P12 at its relaxed geometry.

Geometry as POSCAR:
```
Ho5Ni19P12
1.0
-6.914 -9.418 3.022
1.242 3.099 -11.597
2.958 -2.264 -0.288
Ho Ni P
5 19 12
Direct
0.000 0.812 0.500
0.188 0.188 0.500
0.812 0.000 0.500
0.667 0.333 0.000
0.333 0.667 0.000
0.000 0.285 0.500
0.380 0.182 0.000
0.802 0.620 0.000
0.818 0.198 0.000
0.182 0.380 0.000
0.198 0.818 0.000
0.875 0.515 0.500
0.640 0.125 0.500
0.485 0.360 0.500
0.360 0.485 0.500
0.125 0.640 0.500
0.515 0.875 0.500
0.285 0.000 0.500
0.000 0.447 0.000
0.553 0.553 0.000
0.447 0.000 0.000
0.000 0.000 0.000
0.620 0.802 0.000
0.715 0.715 0.500
0.687 0.521 0.500
0.479 0.167 0.500
0.833 0.313 0.500
0.313 0.833 0.500
0.167 0.479 0.500
0.822 0.822 0.000
0.178 0.000 0.000
0.000 0.632 0.000
0.368 0.368 0.000
0.632 0.000 0.000
0.521 0.687 0.500
0.000 0.178 0.000
```

## Properties
N(E_F) ... 0.705 states/eV per atom
Calculated total energy ... -229.1 eV per cell
Energy relative to the elements ... -874.6 meV/atom
M_tot ... 0.0 Bohr magnetons per cell

Record 3
Density functional theory data (PBE) for crystalline Ho3Ni4P4 at its relaxed geometry.

Geometry as POSCAR:
```
Ho3Ni4P4
1.0
3.862 0.000 0.004
0.000 3.859 0.003
1.923 1.920 11.404
Ho Ni P
3 4 4
Direct
0.149 0.649 0.702
0.851 0.351 0.298
0.000 0.000 0.000
0.595 0.095 0.809
0.251 0.251 0.499
0.749 0.749 0.501
0.405 0.905 0.191
0.551 0.551 0.897
0.449 0.449 0.103
0.307 0.807 0.387
0.693 0.193 0.613
```

## Properties
N(E_F) ... 0.535 states/eV per atom
Calculated total energy ... -71.1 eV per cell
Energy relative to the elements ... -1141.8 meV/atom
M_tot ... 0.0 Bohr magnetons per cell

Record 4
Density functional theory data (PBE) for crystalline Ho2Ni5P3 at its relaxed geometry.

Geometry as POSCAR:
```
Ho2Ni5P3
1.0
-0.812 -1.513 -3.347
-2.174 -5.554 3.039
-10.244 5.232 2.234
Ho Ni P
4 10 6
Direct
0.451 0.660 0.901
0.159 0.820 0.318
0.841 0.320 0.682
0.549 0.160 0.099
0.432 0.248 0.863
0.287 0.634 0.575
0.713 0.134 0.425
0.153 0.323 0.305
0.281 0.013 0.562
0.944 0.004 0.888
0.719 0.513 0.438
0.847 0.823 0.695
0.056 0.504 0.112
0.568 0.748 0.137
0.753 0.826 0.505
0.622 0.488 0.245
0.031 0.849 0.061
0.247 0.326 0.495
0.969 0.349 0.939
0.378 0.988 0.755
```

## Properties
N(E_F) ... 0.544 states/eV per atom
Calculated total energy ... -126.2 eV per cell
Energy relative to the elements ... -879.4 meV/atom
M_tot ... 0.0 Bohr magnetons per cell

Record 5
Density functional theory data (PBE) for crystalline HoNi3P2 at its relaxed geometry.

Geometry as POSCAR:
```
HoNi3P2
1.0
-3.053 2.157 0.213
-2.312 -6.217 -3.087
0.320 -0.218 6.800
Ho Ni P
2 6 4
Direct
0.846 0.692 0.931
0.154 0.308 0.069
0.317 0.633 0.566
0.957 0.914 0.634
0.599 0.198 0.688
0.401 0.802 0.312
0.043 0.086 0.366
0.683 0.367 0.434
0.481 0.962 0.823
0.519 0.038 0.177
0.811 0.622 0.321
0.189 0.378 0.679
```

## Properties
N(E_F) ... 0.737 states/eV per atom
Offset from the most stable computed form ... 50 meV per atom
Calculated total energy ... -76.1 eV per cell
Energy relative to the elements ... -882.4 meV/atom
M_tot ... 0.0 Bohr magnetons per cell

Record 6
Density functional theory data (PBE) for crystalline Ho2Ni5P4 at its relaxed geometry.

Geometry as POSCAR:
```
Ho2Ni5P4
1.0
5.261 0.000 0.000
2.630 4.609 0.000
2.630 0.000 6.493
Ho Ni P
2 5 4
Direct
0.857 0.000 0.286
0.143 0.000 0.714
0.500 0.000 0.000
0.000 0.500 0.000
0.500 0.500 0.000
0.250 0.500 0.500
0.750 0.500 0.500
0.480 0.303 0.738
0.520 0.697 0.262
0.217 0.303 0.262
0.783 0.697 0.738
```

## Properties
N(E_F) ... 0.383 states/eV per atom
Calculated total energy ... -68.5 eV per cell
Energy relative to the elements ... -796.5 meV/atom
M_tot ... 0.0 Bohr magnetons per cell

Record 7
Density functional theory data (PBE) for crystalline Ho3Ni6P5 at its relaxed geometry.

Geometry as POSCAR:
```
Ho3Ni6P5
1.0
3.761 0.000 0.000
0.000 9.332 0.000
0.000 0.000 11.531
Ho Ni P
6 12 10
Direct
0.000 0.249 0.660
0.500 0.751 0.160
0.500 0.751 0.840
0.000 0.253 0.000
0.500 0.747 0.500
0.000 0.249 0.340
0.000 0.007 0.829
0.500 0.993 0.671
0.500 0.391 0.813
0.500 0.513 0.000
0.000 0.487 0.500
0.000 0.609 0.687
0.000 0.609 0.313
0.500 0.013 0.000
0.000 0.007 0.171
0.500 0.391 0.187
0.000 0.987 0.500
0.500 0.993 0.329
0.000 0.517 0.873
0.000 0.853 0.670
0.000 0.878 0.000
0.500 0.483 0.627
0.500 0.122 0.500
0.000 0.517 0.127
0.500 0.483 0.373
0.000 0.853 0.330
0.500 0.147 0.830
0.500 0.147 0.170
```

## Properties
N(E_F) ... 0.656 states/eV per atom
Calculated total energy ... -179.0 eV per cell
Energy relative to the elements ... -1000.9 meV/atom
M_tot ... 0.0 Bohr magnetons per cell

Record 8
Density functional theory data (PBE) for crystalline Ho2Ni3P4 at its relaxed geometry.

Geometry as POSCAR:
```
Ho2Ni3P4
1.0
5.310 0.000 0.000
0.000 6.929 0.000
-2.655 0.000 7.228
Ho Ni P
4 6 8
Direct
0.114 0.587 0.228
0.886 0.413 0.772
0.386 0.087 0.772
0.614 0.913 0.228
0.000 0.000 0.000
0.500 0.500 0.000
0.538 0.750 0.576
0.962 0.250 0.424
0.462 0.250 0.424
0.038 0.750 0.576
0.700 0.750 0.899
0.800 0.250 0.101
0.300 0.250 0.101
0.200 0.750 0.899
0.196 0.956 0.392
0.804 0.044 0.608
0.304 0.456 0.608
0.696 0.544 0.392
```

## Properties
N(E_F) ... 0.588 states/eV per atom
Calculated total energy ... -112.0 eV per cell
Energy relative to the elements ... -872.9 meV/atom
M_tot ... 0.0 Bohr magnetons per cell

Record 9
Density functional theory data (PBE) for crystalline HoNi3P3 at its relaxed geometry.

Geometry as POSCAR:
```
HoNi3P3
1.0
6.102 0.000 0.000
0.000 6.102 0.000
0.000 0.000 6.102
Ni Ho P
6 2 6
Direct
0.250 0.000 0.500
0.000 0.500 0.250
0.500 0.750 0.000
0.750 0.000 0.500
0.000 0.500 0.750
0.500 0.250 0.000
0.500 0.500 0.500
0.000 0.000 0.000
0.000 0.250 0.500
0.000 0.750 0.500
0.500 0.000 0.750
0.750 0.500 0.000
0.500 0.000 0.250
0.250 0.500 0.000
```

## Properties
N(E_F) ... 0.652 states/eV per atom
Calculated total energy ... -83.9 eV per cell
Energy relative to the elements ... -539.5 meV/atom
M_tot ... 0.0 Bohr magnetons per cell

Record 10
Density functional theory data (PBE) for crystalline Ho3Ni2P3 at its relaxed geometry.

Geometry as POSCAR:
```
Ho3Ni2P3
1.0
3.936 0.000 0.000
-1.968 5.171 0.000
0.000 0.000 13.528
Ho Ni P
6 4 6
Direct
0.925 0.850 0.391
0.075 0.150 0.891
0.925 0.850 0.109
0.075 0.150 0.609
0.640 0.280 0.250
0.360 0.720 0.750
0.776 0.553 0.906
0.224 0.447 0.406
0.776 0.553 0.594
0.224 0.447 0.094
0.633 0.265 0.452
0.367 0.735 0.952
0.633 0.265 0.048
0.367 0.735 0.548
0.344 0.688 0.250
0.656 0.312 0.750
```

## Properties
N(E_F) ... 0.477 states/eV per atom
Calculated total energy ... -101.3 eV per cell
Energy relative to the elements ... -1139.9 meV/atom
M_tot ... 1.1 Bohr magnetons per cell

Record 11
Density functional theory data (PBE) for crystalline HoNi4P3 at its relaxed geometry.

Geometry as POSCAR:
```
HoNi4P3
1.0
-0.479 1.143 3.622
-3.686 -1.019 -0.166
1.729 -6.633 2.322
Ni Ho P
4 1 3
Direct
0.500 0.000 0.178
0.000 0.500 0.178
0.500 0.000 0.822
0.000 0.500 0.822
0.000 0.000 0.500
0.000 0.000 0.000
0.500 0.500 0.342
0.500 0.500 0.658
```

## Properties
N(E_F) ... 0.383 states/eV per atom
Calculated total energy ... -50.4 eV per cell
Energy relative to the elements ... -811.8 meV/atom
M_tot ... 0.0 Bohr magnetons per cell

Record 12
Density functional theory data (PBE) for crystalline HoNi5P3 at its relaxed geometry.

Geometry as POSCAR:
```
HoNi5P3
1.0
-0.611 -3.358 -0.979
6.035 0.689 0.311
-0.205 -3.162 10.980
Ho Ni P
2 10 6
Direct
0.843 0.686 0.750
0.157 0.314 0.250
0.799 0.597 0.427
0.201 0.403 0.927
0.000 0.000 0.500
0.000 0.000 0.000
0.450 0.900 0.145
0.550 0.100 0.855
0.550 0.100 0.645
0.799 0.597 0.073
0.201 0.403 0.573
0.450 0.900 0.355
0.382 0.765 0.957
0.881 0.762 0.250
0.382 0.765 0.543
0.618 0.235 0.457
0.119 0.238 0.750
0.618 0.235 0.043
```

## Properties
N(E_F) ... 0.586 states/eV per atom
Calculated total energy ... -113.2 eV per cell
Energy relative to the elements ... -764.0 meV/atom
M_tot ... 0.0 Bohr magnetons per cell

Record 13
Density functional theory data (PBE) for crystalline Ho2Ni4P3Pd at its relaxed geometry.

Geometry as POSCAR:
```
Ho2Ni4P3Pd
1.0
-2.779 2.689 0.391
-2.080 -1.746 -2.780
-4.379 -5.504 6.732
Ho Ni P Pd
2 4 3 1
Direct
0.500 0.000 0.244
0.000 0.500 0.756
0.500 0.500 0.000
0.000 0.000 0.000
0.500 0.000 0.650
0.000 0.500 0.350
0.000 0.000 0.500
0.500 0.000 0.873
0.000 0.500 0.127
0.500 0.500 0.500
```

## Properties
N(E_F) ... 0.795 states/eV per atom
Calculated total energy ... -62.4 eV per cell
Energy relative to the elements ... -868.1 meV/atom
M_tot ... 0.0 Bohr magnetons per cell

Record 14
Density functional theory data (PBE) for crystalline PrHoNi2P2 at its relaxed geometry.

Geometry as POSCAR:
```
PrHoNi2P2
1.0
3.927 0.000 0.000
-1.963 3.401 0.000
0.000 0.000 7.962
Pr Ho Ni P
1 1 2 2
Direct
0.000 0.000 0.000
0.000 0.000 0.500
0.667 0.333 0.260
0.333 0.667 0.740
0.667 0.333 0.737
0.333 0.667 0.263
```

## Properties
N(E_F) ... 0.463 states/eV per atom
Calculated total energy ... -38.8 eV per cell
Energy relative to the elements ... -1181.0 meV/atom
M_tot ... 0.0 Bohr magnetons per cell

Record 15
Density functional theory data (PBE) for crystalline Ho2Ni3P4Pt at its relaxed geometry.

Geometry as POSCAR:
```
Ho2Ni3P4Pt
1.0
-0.694 3.372 -2.137
-3.065 -1.840 -1.907
-5.766 2.907 6.462
Ho Ni P Pt
2 3 4 1
Direct
0.500 0.000 0.240
0.000 0.500 0.760
0.000 0.000 0.500
0.500 0.000 0.886
0.000 0.500 0.114
0.500 0.500 0.000
0.000 0.000 0.000
0.500 0.000 0.642
0.000 0.500 0.358
0.500 0.500 0.500
```

## Properties
N(E_F) ... 0.299 states/eV per atom
Calculated total energy ... -63.8 eV per cell
Energy relative to the elements ... -963.9 meV/atom
M_tot ... 0.0 Bohr magnetons per cell

Record 16
Density functional theory data (PBE) for crystalline HoPuNi2P2 at its relaxed geometry.

Geometry as POSCAR:
```
HoPuNi2P2
1.0
-1.281 -2.708 -2.489
2.402 -0.999 2.898
-6.103 -1.338 4.597
Ho Pu Ni P
1 1 2 2
Direct
0.000 0.000 0.500
0.000 0.000 0.000
0.333 0.667 0.750
0.667 0.333 0.250
0.333 0.667 0.255
0.667 0.333 0.745
```

## Properties
N(E_F) ... 1.813 states/eV per atom
Calculated total energy ... -47.7 eV per cell
Energy relative to the elements ... -1066.0 meV/atom
M_tot ... 5.2 Bohr magnetons per cell

Record 17
Density functional theory data (PBE) for crystalline Ho2Ni3P4Rh at its relaxed geometry.

Geometry as POSCAR:
```
Ho2Ni3P4Rh
1.0
-3.601 0.922 -1.498
-0.055 -3.471 -2.003
-4.024 -4.072 7.168
Ho Ni P Rh
2 3 4 1
Direct
0.500 0.000 0.241
0.000 0.500 0.759
0.000 0.000 0.500
0.500 0.000 0.884
0.000 0.500 0.116
0.500 0.500 0.000
0.000 0.000 0.000
0.500 0.000 0.639
0.000 0.500 0.361
0.500 0.500 0.500
```

## Properties
N(E_F) ... 0.460 states/eV per atom
Calculated total energy ... -65.5 eV per cell
Energy relative to the elements ... -999.4 meV/atom
M_tot ... 0.0 Bohr magnetons per cell

Record 18
Density functional theory data (PBE) for crystalline HoNiP2Rh2 at its relaxed geometry.

Geometry as POSCAR:
```
HoNiP2Rh2
1.0
4.257 0.000 0.000
0.000 4.257 0.000
0.000 0.000 5.417
Ho Ni P Rh
1 1 2 2
Direct
0.000 0.000 0.500
0.000 0.000 0.000
0.500 0.000 0.000
0.000 0.500 0.000
0.500 0.500 0.751
0.500 0.500 0.249
```

## Properties
N(E_F) ... 0.639 states/eV per atom
Calculated total energy ... -38.5 eV per cell
Energy relative to the elements ... -436.8 meV/atom
M_tot ... 0.0 Bohr magnetons per cell

Record 19
Density functional theory data (PBE) for crystalline Ho2Ni4P3Rh at its relaxed geometry.

Geometry as POSCAR:
```
Ho2Ni4P3Rh
1.0
3.831 0.000 0.000
0.000 3.831 0.000
0.000 0.000 9.891
Ho Ni P Rh
2 4 3 1
Direct
0.500 0.000 0.245
0.000 0.500 0.755
0.500 0.500 0.000
0.000 0.000 0.000
0.500 0.000 0.653
0.000 0.500 0.347
0.000 0.000 0.500
0.500 0.000 0.873
0.000 0.500 0.127
0.500 0.500 0.500
```

## Properties
N(E_F) ... 0.782 states/eV per atom
Calculated total energy ... -64.4 eV per cell
Energy relative to the elements ... -855.8 meV/atom
M_tot ... 0.0 Bohr magnetons per cell